1.
A relaxed structure of Er2ZnHg. Source: the Alexandria database, functional GGA-PBEsol.

The calculation puts the total energy at -13.8 eV/f.u. Its density of states at the Fermi level is 13.9 states/eV per cell. The density comes out at 11.1 g/cm³. As for the calculated volume: 22.538 Å³ per atom. The size of the total moment is 0.00 Bohr magnetons per cell.

The structure belongs to space group Fm-3m (No. 225); the cell edges are 7.118, 7.118 and 7.118 Å and the angles 90.00°, 90.00° and 90.00°. Symmetry generates all atoms from Er at (0.250, 0.250, 0.250), Zn at (0.000, 0.000, 0.000) and Hg at (0.000, 0.000, 0.500).

---

2.
A relaxed structure of ScBeHg2Pb. Source: the Alexandria database, functional GGA-PBEsol.

The calculation puts the total energy at -12.0 eV/f.u. Its density of states at the Fermi level is 4.6 states/eV per cell. The density comes out at 8.0 g/cm³. As for the calculated volume: 27.517 Å³ per atom. The size of the total moment is 0.00 Bohr magnetons per cell.

The structure belongs to space group P4/mmm (No. 123); the cell edges are 5.318, 5.318 and 4.866 Å and the angles 90.00°, 90.00° and 90.00°. Symmetry generates all atoms from Sc at (0.000, 0.000, 0.000), Be at (0.000, 0.000, 0.500), Hg at (0.000, 0.500, 0.000) and Pb at (0.500, 0.500, 0.500).

---

3.
A relaxed structure of ZrAsRh2. Source: the Alexandria database, functional GGA-PBEsol.

The calculation puts the total energy at -32.7 eV/f.u. Its density of states at the Fermi level is 7.2 states/eV per cell. The density comes out at 9.8 g/cm³. As for the calculated volume: 15.691 Å³ per atom. The size of the total moment is 0.00 Bohr magnetons per cell.

The structure belongs to space group Amm2 (No. 38); the cell edges are 4.156, 2.966 and 10.182 Å and the angles 90.00°, 90.00° and 90.00°. Symmetry generates all atoms from Zr at (0.000, 0.000, 0.000), As at (0.500, 0.000, 0.373), Rh at (0.000, 0.000, 0.257) and Rh at (0.500, 0.000, 0.631).

---

4.
A relaxed structure of ScAs5. Source: the Alexandria database, functional GGA-PBEsol.

The calculation puts the total energy at -31.2 eV/f.u. Its density of states at the Fermi level is 2.6 states/eV per cell. The density comes out at 5.7 g/cm³. As for the calculated volume: 20.202 Å³ per atom. The size of the total moment is 0.00 Bohr magnetons per cell.

The structure belongs to space group P6/mmm (No. 191); the cell edges are 5.4025, 5.4025 and 4.7955 Å and the angles 90.00°, 90.00° and 120.00°. Symmetry generates all atoms from Sc at (0.0000, 0.0000, 0.0000), As at (0.0000, 0.5000, 0.5000) and As at (0.3333, 0.6667, 0.0000).

---

5.
A relaxed structure of TlCdPb2. Source: the Alexandria database, functional GGA-PBEsol.

Its density of states at the Fermi level is 7.4 states/eV per cell. The density comes out at 11.0 g/cm³. As for the calculated volume: 27.715 Å³ per atom. The relative energy among the computed polymorphs is 30 meV/atom. The size of the total moment is 0.00 Bohr magnetons per cell.

The structure belongs to space group F-43m (No. 216); the cell edges are 7.626, 7.626 and 7.626 Å and the angles 90.00°, 90.00° and 90.00°. Symmetry generates all atoms from Tl at (0.000, 0.000, 0.000), Cd at (0.250, 0.250, 0.250), Pb at (0.000, 0.000, 0.500) and Pb at (0.250, 0.250, 0.750).

---

6.
A relaxed structure of Te3WCl. Source: the Alexandria database, functional GGA-PBEsol.

Its density of states at the Fermi level is 5.3 states/eV per cell. The density comes out at 7.3 g/cm³. As for the calculated volume: 27.387 Å³ per atom. The size of the total moment is 2.90 Bohr magnetons per cell. The uncorrected formation energy is 1.686 eV per atom.

The structure belongs to space group Pm-3m (No. 221); the cell edges are 5.154, 5.154 and 5.154 Å and the angles 90.00°, 90.00° and 90.00°. Symmetry generates all atoms from Te at (0.000, 0.000, 0.500), W at (0.500, 0.500, 0.500) and Cl at (0.000, 0.000, 0.000).